Entry 1:
The following is a PBE-GGA calculation of Ce2BrO after structural relaxation, from the Alexandria database.

Properties
Formation energy (no corrections), meV per atom: -1357
Energy above the lowest structure with this stoichiometry, meV per atom: 579
Volume, Å³/cell: 80

Cell and atoms, written as POSCAR:
```
Ce2BrO
1.0
3.314 0.000 0.000
0.000 3.314 0.000
0.000 0.000 7.281
Ce Br O
2 1 1
direct
0.000 0.000 0.205
0.000 0.000 0.795
0.500 0.500 0.500
0.500 0.500 0.000
```



Entry 2:
The following is a PBE-GGA calculation of La4Pm2HoTm after structural relaxation, from the Alexandria database.

Properties
Formation energy, meV/atom: 17
Volume, Å³/cell: 277

Cell and atoms, written as POSCAR:
```
La4Pm2HoTm
1.0
5.213 0.000 0.000
0.000 5.247 0.000
-0.008 0.000 10.134
La Pm Ho Tm
4 2 1 1
direct
0.000 0.000 0.250
0.000 0.000 0.750
0.499 0.500 0.249
0.501 0.500 0.751
0.000 0.500 0.500
0.500 0.000 0.000
0.500 0.000 0.500
0.000 0.500 0.000
```